This record from Alexandria via LeMat-Bulk describes a relaxed Sm5Dy2Bi4 crystal. The functional is PBE.

The value obtained for the density is 8.6 g/cm3. For the total magnetization, the calculation gives 0.00 μB per cell. The total energy is -101.4 eV per cell.

The structure belongs to space group C2/m (No. 12); the cell edges are 25.299, 3.525 and 8.317 Å and the angles 90.00°, 91.47° and 90.00°. The asymmetric unit holds Sm at (0.000, 0.000, 0.000), Sm at (0.139, 0.500, 0.058), Sm at (0.174, 0.500, 0.493), Dy at (0.232, 0.000, 0.826), Bi at (0.050, 0.500, 0.316) and Bi at (0.100, 0.000, 0.742).